Record 1
# Ca6TlIn

An optimized crystal structure of Ca6TlIn (PBE-GGA, Alexandria).

a b c (Å): 10.1700 10.1700 10.1700
angles (deg): 148.58 148.58 45.02
Fractional positions:
Ca (0.1005, 0.6005, 0.5000)
Ca (0.2494, 0.2494, 0.0000)
Ca (0.3995, 0.8995, 0.5000)
Ca (0.6005, 0.1005, 0.5000)
Ca (0.7506, 0.7506, 0.0000)
Ca (0.8995, 0.3995, 0.5000)
Tl (0.5000, 0.5000, 0.0000)
In (0.0000, 0.0000, 0.0000)

Computed properties:
* formation enthalpy at 0 K: -236 meV per atom
* calculated volume: 284.9 Å³ per cell
* spin magnetization: 0.0 μB/f.u.
* excess energy over the best structure of this formula in the dataset: 0.0 meV per atom

Record 2
# CaTlIn2

An optimized crystal structure of CaTlIn2 (PBE-GGA, Alexandria).

a b c (Å): 10.5875 10.5875 10.5875
angles (deg): 19.79 19.79 19.79
Fractional positions:
Ca (0.0000, 0.0000, 0.0000)
Tl (0.5000, 0.5000, 0.5000)
In (0.2508, 0.2508, 0.2508)
In (0.7492, 0.7492, 0.7492)

Computed properties:
* formation enthalpy at 0 K: -110 meV per atom
* calculated volume: 119.0 Å³ per cell
* spin magnetization: 0.0 μB/f.u.

Record 3
# CaTlIn2

An optimized crystal structure of CaTlIn2 (PBE-GGA, Alexandria).

a b c (Å): 11.9669 11.9669 11.9669
angles (deg): 157.91 157.91 31.44
Fractional positions:
Ca (0.0000, 0.0000, 0.0000)
Ca (0.7500, 0.2500, 0.5000)
Tl (0.2500, 0.7500, 0.5000)
Tl (0.5000, 0.5000, 0.0000)
In (0.1294, 0.6250, 0.0044)
In (0.3750, 0.3794, 0.5044)
In (0.6206, 0.1250, 0.9956)
In (0.8750, 0.8706, 0.4956)

Computed properties:
* formation enthalpy at 0 K: -101 meV per atom
* calculated volume: 242.2 Å³ per cell
* spin magnetization: 0.0 μB/f.u.

Record 4
# CaTlIn

An optimized crystal structure of CaTlIn (PBE-GGA, Alexandria).

a b c (Å): 5.4790 5.4790 11.4199
angles (deg): 90.00 90.00 120.00
Fractional positions:
Ca (0.3333, 0.6667, 0.2500)
Ca (0.6667, 0.3333, 0.7500)
Tl (0.0000, 0.0000, 0.0000)
Tl (0.0000, 0.0000, 0.5000)
In (0.0000, 0.0000, 0.2500)
In (0.0000, 0.0000, 0.7500)

Computed properties:
* formation enthalpy at 0 K: 309 meV per atom
* calculated volume: 296.9 Å³ per cell
* spin magnetization: 0.0 μB/f.u.